Record 1
First-principles (PBE-GGA) data for crystalline Cs3Ag2AuBr6 at its relaxed geometry, as listed in the Alexandria database.

a = 8.3171 Å, b = 8.3171 Å, c = 9.3158 Å
α = 90.00°, β = 90.00°, γ = 120.00°
Last column: nearest neighbours and their distance in Å.
Element x y z (fractional)
1 Cs 0.6667 0.3333 0.3578  1 Ag 3.62
2 Ag 0.6667 0.3333 0.7461  3 Br 2.60
3 Br 0.1555 0.8445 0.3022  1 Ag 2.60, 1 Au 2.90
4 Br 0.8445 0.1555 0.6978  1 Ag 2.60, 1 Au 2.90
5 Br 0.3111 0.1555 0.6978  1 Ag 2.60, 1 Au 2.90
6 Br 0.6889 0.8445 0.3022  1 Ag 2.60, 1 Au 2.90
7 Cs 0.3333 0.6667 0.6422  1 Ag 3.62
8 Br 0.1555 0.3111 0.3022  1 Ag 2.60, 1 Au 2.90
9 Ag 0.3333 0.6667 0.2539  3 Br 2.60
10 Br 0.8445 0.6889 0.6978  1 Ag 2.60, 1 Au 2.90
11 Au 0.0000 0.0000 0.5000  6 Br 2.90
12 Cs 0.0000 0.0000 0.0000  6 Br 3.60

Output
**Total energy**: -2.70 eV per atom
**SG**: No. 164
**V**: 46.51 Å³ per atom
**ΔE_f (raw)**: -10.856 eV per formula unit

Record 2
First-principles (PBE-GGA) data for crystalline Cs4AgAuBr2 at its relaxed geometry, as listed in the Alexandria database.

a = 7.4333 Å, b = 7.4333 Å, c = 9.0642 Å
α = 111.81°, β = 111.81°, γ = 95.39°
Last column: nearest neighbours and their distance in Å.
Element x y z (fractional)
1 Ag 0.4383 0.4383 0.0000  6 Cs 3.72-3.86
2 Au 0.9370 0.9370 0.0000  6 Cs 3.70-3.72
3 Br 0.6866 0.1866 0.5000  6 Cs 3.72-3.78
4 Cs 0.9381 0.4373 0.0000  2 Au 3.72, 2 Ag 3.72, 2 Br 3.78
5 Cs 0.6922 0.6922 0.5108  1 Au 3.70, 4 Br 3.72, 1 Ag 3.86
6 Cs 0.4373 0.9381 0.0000  2 Au 3.72, 2 Ag 3.72, 2 Br 3.78
7 Cs 0.1813 0.1813 0.4892  1 Au 3.70, 4 Br 3.72, 1 Ag 3.86
8 Br 0.1866 0.6866 0.5000  6 Cs 3.72-3.78

Output
**Total energy**: -2.60 eV per atom
**SG**: No. 42
**DOS(E_F)**: 0.000 states/eV/f.u.
**V**: 51.98 Å³ per atom
**ΔE_f (raw)**: -7.915 eV per formula unit

Record 3
First-principles (PBE-GGA) data for crystalline Cs3AgAu2Br9 at its relaxed geometry, as listed in the Alexandria database.

a = 7.7455 Å, b = 7.7455 Å, c = 9.4955 Å
α = 90.00°, β = 90.00°, γ = 120.00°
Last column: nearest neighbours and their distance in Å.
Element x y z (fractional)
1 Br 0.8323 0.1677 0.6718  1 Au 2.71, 1 Ag 2.78
2 Br 0.6646 0.8323 0.3282  1 Au 2.71, 1 Ag 2.78
3 Br 0.5000 0.0000 0.0000  2 Au 2.73
4 Ag 0.0000 0.0000 0.5000  6 Br 2.78
5 Cs 0.6667 0.3333 0.3387  12 Br 3.87-3.92
6 Br 0.5000 0.5000 0.0000  2 Au 2.73
7 Br 0.1677 0.8323 0.3282  1 Au 2.71, 1 Ag 2.78
8 Au 0.3333 0.6667 0.1647  6 Br 2.71-2.73
9 Br 0.3354 0.1677 0.6718  1 Au 2.71, 1 Ag 2.78
10 Br 0.8323 0.6646 0.6718  1 Au 2.71, 1 Ag 2.78
11 Br 0.0000 0.5000 0.0000  2 Au 2.73
12 Cs 0.3333 0.6667 0.6613  12 Br 3.87-3.92
13 Au 0.6667 0.3333 0.8353  6 Br 2.71-2.73
14 Cs 0.0000 0.0000 0.0000  12 Br 3.84-3.87
15 Br 0.1677 0.3354 0.3282  1 Au 2.71, 1 Ag 2.78

Output
**Total energy**: -2.66 eV per atom
**SG**: No. 164
**DOS(E_F)**: 4.765 states/eV/f.u.
**V**: 32.89 Å³ per atom
**ΔE_f (raw)**: -12.877 eV per formula unit

Record 4
First-principles (PBE-GGA) data for crystalline CuAgAu2Br8 at its relaxed geometry, as listed in the Alexandria database.

a = 7.7252 Å, b = 7.7252 Å, c = 7.7252 Å
α = 114.20°, β = 114.20°, γ = 100.38°
Last column: nearest neighbours and their distance in Å.
Element x y z (fractional)
1 Br 0.9529 0.2602 0.3073  1 Au 2.58, 1 Ag 2.62
2 Br 0.2997 0.0911 0.7914  1 Cu 2.49, 1 Au 2.64
3 Cu 0.2500 0.7500 0.5000  4 Br 2.49
4 Au 0.7500 0.2500 0.5000  4 Br 2.58
5 Br 0.7398 0.0471 0.6927  1 Au 2.58, 1 Ag 2.62
6 Au 0.5000 0.5000 0.0000  4 Br 2.64
7 Br 0.2997 0.5083 0.2086  1 Cu 2.49, 1 Au 2.64
8 Br 0.3543 0.0471 0.3073  1 Au 2.58, 1 Ag 2.62
9 Br 0.4917 0.7003 0.7914  1 Cu 2.49, 1 Au 2.64
10 Br 0.9529 0.6457 0.6927  1 Au 2.58, 1 Ag 2.62
11 Ag 0.0000 0.0000 0.0000  4 Br 2.62
12 Br 0.9089 0.7003 0.2086  1 Cu 2.49, 1 Au 2.64

Output
**Total energy**: -2.24 eV per atom
**SG**: No. 119
**DOS(E_F)**: 9.449 states/eV/f.u.
**V**: 29.03 Å³ per atom
**ΔE_f (raw)**: 0.000 eV per formula unit

Record 5
First-principles (PBE-GGA) data for crystalline FeAgAu2Br at its relaxed geometry, as listed in the Alexandria database.

a = 5.1043 Å, b = 4.2724 Å, c = 5.1043 Å
α = 90.00°, β = 90.00°, γ = 90.00°
Last column: nearest neighbours and their distance in Å.
Element x y z (fractional)
1 Ag 0.5000 0.5000 0.5000  8 Au 3.33, 4 Fe 3.61
2 Br 0.0000 0.0000 0.0000  2 Fe 2.14
3 Au 0.0000 0.0000 0.5000  2 Br 2.55
4 Fe 0.0000 0.5000 0.0000  2 Br 2.14
5 Au 0.5000 0.0000 0.0000  2 Br 2.55

Output
**Total energy**: -2.69 eV per atom
**SG**: No. 123
**DOS(E_F)**: 5.064 states/eV/f.u.
**V**: 22.26 Å³ per atom
**ΔE_f (raw)**: 6.110 eV per formula unit

Record 6
First-principles (PBE-GGA) data for crystalline GaAgAu2Br at its relaxed geometry, as listed in the Alexandria database.

a = 5.3445 Å, b = 5.0261 Å, c = 5.3445 Å
α = 90.00°, β = 90.00°, γ = 90.00°
Last column: nearest neighbours and their distance in Å.
Element x y z (fractional)
1 Au 0.5000 0.0000 0.0000  2 Br 2.67
2 Au 0.0000 0.0000 0.5000  2 Br 2.67
3 Ag 0.0000 0.5000 0.0000  2 Br 2.51
4 Br 0.0000 0.0000 0.0000  2 Ag 2.51, 4 Au 2.67
5 Ga 0.5000 0.5000 0.5000  8 Au 3.67, 4 Ag 3.78

Output
**Total energy**: -2.07 eV per atom
**SG**: No. 123
**DOS(E_F)**: 2.110 states/eV/f.u.
**V**: 28.71 Å³ per atom
**ΔE_f (raw)**: 3.753 eV per formula unit

Record 7
First-principles (PBE-GGA) data for crystalline Ag2HgAuBr6 at its relaxed geometry, as listed in the Alexandria database.

a = 8.1949 Å, b = 7.4986 Å, c = 8.9093 Å
α = 50.90°, β = 56.29°, γ = 52.70°
Last column: nearest neighbours and their distance in Å.
Element x y z (fractional)
1 Br 0.9742 0.5827 0.2424  2 Ag 2.70-2.87, 1 Au 2.71
2 Br 0.6550 0.1161 0.7860  2 Ag 2.67-2.80, 1 Au 2.69
3 Hg 0.8261 0.8066 0.5346  2 Br 2.50
4 Br 0.3868 0.7241 0.7719  1 Au 2.53, 1 Ag 2.76
5 Ag 0.6097 0.5184 0.4057  4 Br 2.68-2.83
6 Br 0.6192 0.2244 0.3014  1 Hg 2.50
7 Br 0.2623 0.9228 0.2943  1 Au 2.53, 1 Ag 2.68
8 Br 0.0387 0.4082 0.7727  1 Hg 2.50, 1 Ag 2.71
9 Ag 0.9656 0.0344 0.8719  4 Br 2.67-2.87
10 Au 0.3239 0.3239 0.0343  4 Br 2.53-2.71

Output
**Total energy**: -2.20 eV per atom
**SG**: No. 1
**DOS(E_F)**: 3.025 states/eV/f.u.
**V**: 32.45 Å³ per atom
**ΔE_f (raw)**: -2.659 eV per formula unit

Record 8
First-principles (PBE-GGA) data for crystalline KAg2AuBr8 at its relaxed geometry, as listed in the Alexandria database.

a = 10.5562 Å, b = 7.7067 Å, c = 7.9355 Å
α = 119.42°, β = 118.13°, γ = 58.63°
Last column: nearest neighbours and their distance in Å.
Element x y z (fractional)
1 Ag 0.4798 0.5169 0.2441  4 Br 2.63-2.66
2 K 0.0000 0.0000 0.5000  4 Br 3.19-3.21
3 Br 0.4975 0.7612 0.1193  2 Ag 2.63-2.65
4 Br 0.9168 0.7666 0.6509  1 Au 2.48
5 Br 0.8810 0.3185 0.8934  1 Au 2.48
6 Br 0.0832 0.2334 0.3491  1 Au 2.48
7 Br 0.4939 0.7615 0.6277  2 Ag 2.64-2.66
8 Br 0.1190 0.6815 0.1066  1 Au 2.48
9 Br 0.5061 0.2385 0.3723  2 Ag 2.64-2.66
10 Br 0.5025 0.2388 0.8807  2 Ag 2.63-2.65
11 Au 0.0000 0.0000 0.0000  4 Br 2.48
12 Ag 0.5202 0.4831 0.7559  4 Br 2.63-2.66

Output
**Total energy**: -2.39 eV per atom
**SG**: No. 2
**DOS(E_F)**: 3.463 states/eV/f.u.
**V**: 38.29 Å³ per atom
**ΔE_f (raw)**: -5.249 eV per formula unit

Record 9
First-principles (PBE-GGA) data for crystalline K3AgAu2Br9 at its relaxed geometry, as listed in the Alexandria database.

a = 7.6432 Å, b = 7.6432 Å, c = 9.3745 Å
α = 90.00°, β = 90.00°, γ = 120.00°
Last column: nearest neighbours and their distance in Å.
Element x y z (fractional)
1 K 0.0000 0.0000 0.0000  12 Br 3.80-3.82
2 Br 0.5000 0.0000 0.0000  2 Au 2.69
3 K 0.6667 0.3333 0.3468  12 Br 3.75-3.93
4 Au 0.3333 0.6667 0.1647  6 Br 2.68-2.69
5 K 0.3333 0.6667 0.6532  12 Br 3.75-3.93
6 Br 0.3349 0.1674 0.6708  1 Au 2.68, 1 Ag 2.73
7 Br 0.8326 0.1674 0.6708  1 Au 2.68, 1 Ag 2.73
8 Br 0.8326 0.6651 0.6708  1 Au 2.68, 1 Ag 2.73
9 Br 0.0000 0.5000 0.0000  2 Au 2.69
10 Br 0.5000 0.5000 0.0000  2 Au 2.69
11 Br 0.1674 0.3349 0.3292  1 Au 2.68, 1 Ag 2.73
12 Br 0.6651 0.8326 0.3292  1 Au 2.68, 1 Ag 2.73
13 Br 0.1674 0.8326 0.3292  1 Au 2.68, 1 Ag 2.73
14 Ag 0.0000 0.0000 0.5000  6 Br 2.73
15 Au 0.6667 0.3333 0.8353  6 Br 2.68-2.69

Output
**Total energy**: -2.64 eV per atom
**SG**: No. 164
**DOS(E_F)**: 4.570 states/eV/f.u.
**V**: 31.62 Å³ per atom
**ΔE_f (raw)**: -11.875 eV per formula unit

Record 10
First-principles (PBE-GGA) data for crystalline KAg2AuBr6 at its relaxed geometry, as listed in the Alexandria database.

a = 8.5457 Å, b = 7.8870 Å, c = 10.3486 Å
α = 49.91°, β = 45.26°, γ = 50.60°
Last column: nearest neighbours and their distance in Å.
Element x y z (fractional)
1 Br 0.2697 0.9397 0.2905  1 Au 2.51, 1 Ag 2.70
2 Br 0.6606 0.1423 0.2615  2 Ag 2.61-2.64
3 Br 0.7195 0.1496 0.8107  1 Au 2.49
4 Br 0.1911 0.3976 0.7034  2 Ag 2.70-2.72
5 Br 0.9009 0.5270 0.2521  1 Au 2.48, 1 Ag 2.74
6 Au 0.3052 0.3349 0.0305  4 Br 2.48-2.52
7 K 0.7426 0.8759 0.6393  5 Br 3.33-3.43, 1 Ag 3.71
8 Ag 0.5457 0.4860 0.3272  4 Br 2.61-2.74
9 Br 0.3414 0.7336 0.7738  1 Au 2.52, 1 Ag 2.70
10 Ag 0.9850 0.0750 0.9261  4 Br 2.64-2.85

Output
**Total energy**: -2.54 eV per atom
**SG**: No. 1
**V**: 35.72 Å³ per atom
**ΔE_f (raw)**: -5.272 eV per formula unit

Record 11
First-principles (PBE-GGA) data for crystalline K4Ag3AuBr12 at its relaxed geometry, as listed in the Alexandria database.

a = 9.3770 Å, b = 9.3770 Å, c = 9.3770 Å
α = 109.47°, β = 109.47°, γ = 109.47°
Last column: nearest neighbours and their distance in Å.
Element x y z (fractional)
1 Ag 0.5000 0.0000 0.5000  6 Br 2.71-2.77
2 Br 0.7554 0.0000 0.7554  1 Au 2.65, 1 Ag 2.77
3 Br 0.2446 0.0000 0.2446  1 Au 2.65, 1 Ag 2.77
4 K 0.0000 0.0000 0.5000  12 Br 3.83
5 Au 0.0000 0.0000 0.0000  6 Br 2.65
6 Br 0.2446 0.2446 0.0000  1 Au 2.65, 1 Ag 2.77
7 Ag 0.5000 0.5000 0.0000  6 Br 2.71-2.77
8 Br 0.0000 0.2446 0.2446  1 Au 2.65, 1 Ag 2.77
9 Br 0.2500 0.5000 0.7500  2 Ag 2.71
10 Br 0.7500 0.5000 0.2500  2 Ag 2.71
11 Br 0.5000 0.7500 0.2500  2 Ag 2.71
12 Br 0.5000 0.2500 0.7500  2 Ag 2.71
13 K 0.5000 0.0000 0.0000  12 Br 3.83
14 Br 0.7500 0.2500 0.5000  2 Ag 2.71
15 Br 0.2500 0.7500 0.5000  2 Ag 2.71
16 Ag 0.0000 0.5000 0.5000  6 Br 2.71-2.77
17 K 0.0000 0.5000 0.0000  12 Br 3.83
18 Br 0.7554 0.7554 0.0000  1 Au 2.65, 1 Ag 2.77
19 K 0.5000 0.5000 0.5000  12 Br 3.83
20 Br 0.0000 0.7554 0.7554  1 Au 2.65, 1 Ag 2.77

Output
**Total energy**: -2.64 eV per atom
**SG**: No. 229
**DOS(E_F)**: 8.165 states/eV/f.u.
**V**: 31.74 Å³ per atom
**ΔE_f (raw)**: -16.428 eV per formula unit

Record 12
First-principles (PBE-GGA) data for crystalline LiAg2AuBr6 at its relaxed geometry, as listed in the Alexandria database.

a = 7.5206 Å, b = 7.8282 Å, c = 8.8438 Å
α = 51.88°, β = 52.99°, γ = 52.38°
Last column: nearest neighbours and their distance in Å.
Element x y z (fractional)
1 Br 0.4533 0.7599 0.7895  1 Au 2.50
2 Br 0.0700 0.4215 0.7445  1 Au 2.50, 1 Li 2.72, 1 Ag 2.79
3 Br 0.6398 0.1951 0.2954  1 Au 2.48
4 Au 0.8408 0.8200 0.5359  4 Br 2.48-2.55
5 Ag 0.9600 0.0344 0.9368  4 Br 2.71-2.83
6 Li 0.2238 0.3213 0.0108  4 Br 2.50-2.72
7 Br 0.6517 0.1581 0.7899  1 Li 2.51, 2 Ag 2.68-2.71
8 Ag 0.5925 0.4881 0.4290  4 Br 2.68-2.94
9 Br 0.9931 0.5818 0.1957  1 Li 2.50, 2 Ag 2.69-2.73
10 Br 0.2366 0.8815 0.2879  1 Au 2.55, 1 Li 2.71, 1 Ag 2.72

Output
**Total energy**: -2.56 eV per atom
**SG**: No. 1
**V**: 30.25 Å³ per atom
**ΔE_f (raw)**: -4.679 eV per formula unit